# K3NpNi2O6

A geometry-optimized K3NpNi2O6 structure (PBE+U, Alexandria via LeMat-Bulk).

SG: C2/m
DOS at the Fermi energy: 8.1 states/eV/f.u.
VASP energy: -6.011 eV/atom
mass density: 5.63 g/cm3

a b c (Å): 5.6117 5.6117 6.4229
angles (deg): 98.20 98.20 120.16
Fractional coordinates of all 12 atoms:
K 0.0000 0.0000 0.0000
K 0.3253 0.6747 0.0000
K 0.6747 0.3253 0.0000
Np 0.5000 0.5000 0.5000
Ni 0.1665 0.8335 0.5000
Ni 0.8335 0.1665 0.5000
O 0.1079 0.4386 0.3181
O 0.2314 0.2314 0.6849
O 0.4386 0.1079 0.3181
O 0.5614 0.8921 0.6819
O 0.7686 0.7686 0.3151
O 0.8921 0.5614 0.6819